Computed, not measured: LiPm3Pr4Te8 after structural relaxation at the PBE level of DFT.

a b c (Å): 8.973 8.973 8.973
angles (deg): 59.89 59.89 59.89
Sites, in units of the cell vectors:
Li1 0.000 0.000 0.000
Pm1 0.000 0.500 0.500
Pm2 0.500 0.000 0.500
Pm3 0.500 0.500 0.000
Pr1 0.000 0.000 0.500
Pr2 0.000 0.500 0.000
Pr3 0.500 0.000 0.000
Pr4 0.500 0.500 0.500
Te1 0.242 0.242 0.755
Te2 0.242 0.755 0.242
Te3 0.245 0.758 0.758
Te4 0.252 0.252 0.252
Te5 0.748 0.748 0.748
Te6 0.755 0.242 0.242
Te7 0.758 0.245 0.758
Te8 0.758 0.758 0.245

Results
Total moment in Bohr magnetons per cell: 0.00
Formation energy without anion corrections in eV/f.u.: -22.47
VASP energy in eV per cell: -82.89